[1]
## AcTmO4 (PBE-GGA)

Data for a geometry-optimized AcTmO4 structure.

The structure in POSCAR format:
```
AcTmO4
1.0
4.0287 -0.0001 -0.0001
-2.0143 3.3876 -0.4148
0.0001 -0.0685 6.5336
Ac O Tm
1 4 1
Direct
0.0491 0.0982 0.0172
0.8358 0.6717 0.6568
0.6715 0.3431 0.7927
0.1018 0.2035 0.4150
0.4024 0.8049 0.1383
0.4393 0.8787 0.4800
```

## Properties
Electronic total energy   -7.60 eV per atom
Space group   Cm (8)
Uncorrected formation energy   -2.86 eV per atom
Total magnetic moment   0.000 μB per formula unit

---

[2]
## Tm2Ga9Co3 (PBE-GGA)

Data for a geometry-optimized Tm2Ga9Co3 structure.

The structure in POSCAR format:
```
Tm2Ga9Co3
1.0
-4.0929 3.5498 -4.9386
-2.4292 -0.7599 6.8749
4.1460 8.0575 2.3556
Ga Co Tm
18 6 4
Direct
0.3341 0.9992 0.9273
0.6659 0.0008 0.4273
0.9992 0.3341 0.9273
0.3329 0.3329 0.0592
0.5515 0.3365 0.7500
0.6671 0.6671 0.9408
0.8802 0.8802 0.2500
0.6659 0.0008 0.0727
0.3365 0.5515 0.7500
0.0008 0.6659 0.4273
0.6671 0.6671 0.5592
0.4485 0.6635 0.2500
0.3341 0.9992 0.5727
0.1198 0.1198 0.7500
0.0008 0.6659 0.0727
0.9992 0.3341 0.5727
0.3329 0.3329 0.4408
0.6635 0.4485 0.2500
0.3290 0.6710 0.5000
0.6710 0.3290 0.0000
0.6710 0.3290 0.5000
0.3290 0.6710 0.0000
0.0000 0.0000 0.5000
0.0000 0.0000 0.0000
0.3315 0.0027 0.2500
0.9973 0.6685 0.7500
0.0027 0.3315 0.2500
0.6685 0.9973 0.7500
```

## Properties
Electronic total energy   -4.59 eV per atom
Calculated formation energy   -478 meV per atom
Space group   Cmcm (63)
Total magnetic moment   0.000 μB per formula unit

---

[3]
## ScMn2Ru (PBE-GGA)

Data for a geometry-optimized ScMn2Ru structure.

The structure in POSCAR format:
```
ScMn2Ru
1.0
-3.6518 2.3050 0.7710
-1.2792 -3.0097 2.9238
3.9228 1.9125 0.3980
Sc Mn Ru
1 2 1
Direct
0.7501 0.2499 0.5000
0.2500 0.7500 0.5000
0.0000 0.0000 0.0000
0.4999 0.5001 0.0000
```

## Properties
Electronic total energy   -8.55 eV per atom
Calculated formation energy   -65 meV per atom
Space group   I-4m2 (119)
Total magnetic moment   1.104 μB per formula unit